PBE Sr2CrIr, optimized geometry; excess energy over the best structure of this formula in the dataset = 146 meV per atom; space-group type = P4mm
1.0
-2.3003 2.1345 1.6393
0.5870 -1.7060 3.0451
6.6693 5.7155 1.9165
Cr Sr Ir
1 2 1
Cartesian
3.9321 3.3697 1.1299 Cr
1.3108 2.0717 2.9650 Sr
6.1389 5.2609 1.7641 Sr
3.5782 4.0148 3.6166 Ir

***

PBE SrTl2CrIr, optimized geometry; space-group type = P4/mmm
1.0
5.2042 0.0000 0.0000
0.0000 4.6594 0.0000
0.0000 0.0000 5.2042
Tl Ir Cr Sr
2 1 1 1
Cartesian
2.6021 0.0000 0.0000 Tl
0.0000 0.0000 2.6021 Tl
0.0000 2.3297 0.0000 Ir
0.0000 0.0000 0.0000 Cr
2.6021 2.3297 2.6021 Sr

***

PBE SrZnCrIr2, optimized geometry; space-group type = P4/mmm
1.0
4.5918 0.0000 0.0000
0.0000 4.8171 0.0000
0.0000 0.0000 4.5918
Sr Zn Ir Cr
1 1 2 1
Cartesian
2.2959 2.4085 2.2959 Sr
0.0000 2.4085 0.0000 Zn
0.0000 0.0000 2.2959 Ir
2.2959 0.0000 0.0000 Ir
0.0000 0.0000 0.0000 Cr

***

PBE TaCr2Ir, optimized geometry; excess energy over the best structure of this formula in the dataset = 1 meV per atom; space-group type = P4mm
1.0
2.8573 0.4663 0.0000
-0.4676 2.8571 0.0000
0.0000 0.0000 6.6863
Cr Ta Ir
2 1 1
Cartesian
0.0000 0.0000 0.2616 Cr
1.1948 1.6617 1.4884 Cr
1.1948 1.6617 5.1133 Ta
0.0000 0.0000 3.1661 Ir

***

PBE TaCr2Ir, optimized geometry; excess energy over the best structure of this formula in the dataset = 6 meV per atom; space-group type = Pmmm
1.0
3.2591 0.0000 0.0000
0.0000 4.2123 0.0000
0.0000 0.0000 4.2695
Cr Ir Ta
2 1 1
Cartesian
0.0000 0.0000 0.0000 Cr
1.6295 2.1062 0.0000 Cr
1.6295 0.0000 2.1348 Ir
0.0000 2.1062 2.1348 Ta

***

PBE TaCrIr4, optimized geometry; space-group type = F-43m
1.0
0.0000 3.6408 3.6408
3.6408 0.0000 3.6408
3.6408 3.6408 0.0000
Ir Ta Cr
4 1 1
Cartesian
4.5542 2.7273 4.5542 Ir
4.5542 4.5542 2.7273 Ir
2.7273 2.7273 2.7273 Ir
2.7273 4.5542 4.5542 Ir
5.4611 5.4611 5.4611 Ta
0.0000 0.0000 0.0000 Cr

***

PBE TaCrIr, optimized geometry; excess energy over the best structure of this formula in the dataset = 499 meV per atom; space-group type = F-43m
1.0
4.2607 0.0000 0.0000
2.1304 3.6899 0.0000
2.1304 1.2300 3.4789
Ta Ir Cr
1 1 1
Cartesian
6.3911 3.6899 2.6091 Ta
4.2607 2.4599 1.7394 Ir
0.0000 0.0000 0.0000 Cr

***

PBE TaCr2Ir, optimized geometry; excess energy over the best structure of this formula in the dataset = 156 meV per atom; space-group type = P2/m
1.0
-3.8144 -1.6949 0.6364
1.0986 -2.4521 0.0543
1.0467 -0.4956 4.9534
Ir Cr Ta
1 2 1
Cartesian
-1.3709 -1.5844 1.5701 Ir
1.0549 -2.3406 0.0895 Cr
1.1163 -1.5854 2.4687 Cr
-0.2983 -3.0582 4.0740 Ta

***

PBE Ta2CrIr2, optimized geometry; space-group type = P4/mbm
1.0
7.4754 0.0000 0.0000
0.0000 7.4754 0.0000
0.0000 0.0000 2.9726
Ir Ta Cr
4 4 2
Cartesian
4.7291 0.9914 0.0000 Ir
0.9914 2.7463 0.0000 Ir
2.7463 6.4840 0.0000 Ir
6.4840 4.7291 0.0000 Ir
2.4831 1.2546 1.4863 Ta
4.9923 6.2208 1.4863 Ta
6.2208 2.4831 1.4863 Ta
1.2546 4.9923 1.4863 Ta
0.0000 0.0000 0.0000 Cr
3.7377 3.7377 0.0000 Cr

***

PBE TaCr2Ir, optimized geometry; excess energy over the best structure of this formula in the dataset = 102 meV per atom; space-group type = P4/mmm
1.0
4.3006 0.0147 0.0000
-0.0145 4.3006 0.0000
0.0000 0.0000 3.0574
Ta Ir Cr
1 1 2
Cartesian
-0.0073 2.1503 1.5287 Ta
2.1503 0.0074 1.5287 Ir
0.0000 0.0000 0.0000 Cr
2.1431 2.1577 0.0000 Cr

***

PBE TaCr2Ir, optimized geometry; excess energy over the best structure of this formula in the dataset = 689 meV per atom; space-group type = I-42d
1.0
6.9322 0.0000 0.0000
0.0000 6.9322 0.0000
3.4661 3.4661 2.5608
Cr Ir Ta
4 2 2
Cartesian
8.6652 8.7909 1.9206 Cr
1.6074 5.1991 0.6402 Cr
5.1991 5.0735 1.9206 Cr
5.3248 1.7330 0.6402 Cr
6.9322 3.4661 1.2804 Ir
0.0000 0.0000 0.0000 Ir
3.4661 3.4661 0.0000 Ta
3.4661 6.9322 1.2804 Ta

***

PBE TaCr2Ir2, optimized geometry; excess energy over the best structure of this formula in the dataset = 37 meV per atom; space-group type = P4/mbm
1.0
7.3094 0.0000 0.0000
0.0000 7.3094 0.0000
0.0000 0.0000 2.7126
Ir Ta Cr
4 2 4
Cartesian
2.7117 6.3664 0.0000 Ir
6.3664 4.5977 0.0000 Ir
4.5977 0.9430 0.0000 Ir
0.9430 2.7117 0.0000 Ir
3.6547 3.6547 0.0000 Ta
0.0000 0.0000 0.0000 Ta
4.8865 6.0776 1.3563 Cr
6.0776 2.4229 1.3563 Cr
2.4229 1.2318 1.3563 Cr
1.2318 4.8865 1.3563 Cr

***

PBE TaCr3Ir, optimized geometry; space-group type = Pm-3m
1.0
4.3962 0.0000 0.0000
0.0000 4.3962 0.0000
0.0000 0.0000 4.3962
Cr Ta Ir
3 1 1
Cartesian
0.0000 2.1981 0.0000 Cr
0.0000 0.0000 2.1981 Cr
2.1981 0.0000 0.0000 Cr
0.0000 0.0000 0.0000 Ta
2.1981 2.1981 2.1981 Ir

***

PBE TaCr2Ir, optimized geometry; excess energy over the best structure of this formula in the dataset = 145 meV per atom; space-group type = I4/mmm
1.0
4.8707 0.0003 0.0000
1.9921 4.4447 0.0000
-3.4314 -2.2225 2.6476
Ta Cr Ir
1 2 1
Cartesian
2.4353 0.0001 1.3238 Ta
3.4314 2.2225 0.0000 Cr
0.0000 0.0000 0.0000 Cr
0.9961 2.2223 1.3238 Ir

***

PBE TaCrIr, optimized geometry; excess energy over the best structure of this formula in the dataset = 116 meV per atom; space-group type = P3m1
1.0
-0.2429 1.4179 -4.1108
-0.6835 -4.2068 0.8965
-2.6879 0.5079 0.3340
Ir Cr Ta
1 1 1
Cartesian
-1.3241 -0.2805 -2.3256 Ir
-2.5951 0.4903 0.3224 Cr
-2.3830 -1.9830 -0.5432 Ta

***

PBE TaCrIr, optimized geometry; excess energy over the best structure of this formula in the dataset = 0 meV per atom; space-group type = I4mm
1.0
6.1458 0.0007 -0.0007
5.5209 2.6986 0.0042
0.6249 0.1366 2.6944
Cr Ir Ta
1 1 1
Cartesian
0.7531 0.1664 2.6631 Cr
7.8264 1.8080 0.9393 Ir
4.3370 0.9981 1.7897 Ta

***

PBE TaCr2Ir, optimized geometry; excess energy over the best structure of this formula in the dataset = 286 meV per atom; space-group type = R3m
1.0
-3.7476 -1.8713 -7.3161
-4.7336 -3.9988 -5.7162
-6.0416 -1.4795 -5.6906
Ir Cr Ta
1 2 1
Cartesian
-7.1901 -3.6387 -9.2695 Ir
-10.7910 -5.4611 -13.9118 Cr
-0.1361 -0.0689 -0.1755 Cr
-3.6670 -1.8558 -4.7275 Ta

***

PBE TaCr2Ir, optimized geometry; excess energy over the best structure of this formula in the dataset = 189 meV per atom; space-group type = P4/mmm
1.0
-1.3319 -2.1830 -0.7733
1.0943 0.1930 -2.4295
6.1358 -4.5933 2.3988
Cr Ir Ta
2 1 1
Cartesian
0.1451 -0.1086 0.0567 Cr
2.9228 -2.1880 1.1427 Cr
1.4152 -2.1433 -1.0017 Ir
4.4831 -4.4400 0.1977 Ta

***

PBE Ta4CrIr, optimized geometry; space-group type = F-43m
1.0
3.6740 -1.6711 3.4887
0.6230 2.5499 4.6446
-1.5114 -2.3386 4.5507
Ta Cr Ir
4 1 1
Cartesian
1.3562 0.7242 7.0771 Ta
1.0454 -0.5478 4.7601 Ta
0.2914 -1.7145 7.0303 Ta
2.8782 -1.3815 6.5005 Ta
2.0892 -1.0949 9.5130 Cr
0.0000 0.0000 0.0000 Ir

***

PBE TaCr4Ir, optimized geometry; space-group type = F-43m
1.0
-1.3890 -3.7559 2.6717
3.2218 -2.3723 2.6770
-0.1169 0.3713 4.7982
Ta Cr Ir
1 4 1
Cartesian
0.0000 0.0000 0.0000 Ta
-0.5638 -2.4035 5.0020 Cr
1.7834 -1.6992 5.0047 Cr
1.1358 -3.8001 3.9222 Cr
1.0763 -3.6111 6.3647 Cr
0.4290 -1.4392 2.5367 Ir

***

PBE TaCr2Ir2, optimized geometry; excess energy over the best structure of this formula in the dataset = 0 meV per atom; space-group type = P4/mbm
1.0
-7.0746 1.5459 0.1925
-1.4665 -6.9105 1.6034
0.1980 0.5750 2.6591
Ir Cr Ta
4 4 2
Cartesian
-2.4507 -0.4287 1.6743 Ir
-2.1383 -4.1125 2.4475 Ir
-6.2048 -0.6771 2.0075 Ir
-5.8923 -4.3609 2.7808 Ir
-1.3878 -2.4682 0.6370 Cr
-4.0068 -5.5114 1.4901 Cr
-4.5342 0.1468 0.3059 Cr
-7.1532 -2.8964 1.1589 Cr
-4.2705 -2.6823 0.8980 Ta
0.0000 0.0000 0.0000 Ta

***

PBE TaCr2Ir, optimized geometry; excess energy over the best structure of this formula in the dataset = 49 meV per atom; space-group type = Pm
1.0
-1.5395 3.0632 2.0728
-2.1785 -1.5286 0.6410
1.2857 -2.4632 4.5950
Ir Cr Ta
1 2 1
Cartesian
-0.3440 -1.8776 2.5192 Ir
-0.1064 -0.2043 0.2229 Cr
-0.9352 0.6630 2.1971 Cr
-1.4932 -1.5057 4.9876 Ta

***

PBE TaCrIr, optimized geometry; excess energy over the best structure of this formula in the dataset = 235 meV per atom; space-group type = Fddd
1.0
4.8581 0.0000 0.0000
2.4290 4.0409 0.0000
2.4290 0.0000 9.2247
Cr Ta Ir
4 4 4
Cartesian
6.0726 2.0205 2.3212 Cr
4.8581 0.0000 2.2911 Cr
2.4290 0.0000 6.9335 Cr
6.0726 2.0205 6.9035 Cr
6.0726 3.4510 4.6123 Ta
4.8581 1.4306 0.0000 Ta
6.0726 0.5899 4.6123 Ta
2.4290 2.6104 0.0000 Ta
4.8581 0.0000 7.9148 Ir
3.6436 2.0205 5.9221 Ir
2.4290 0.0000 1.3098 Ir
3.6436 2.0205 3.3025 Ir

***

PBE TaCrIr, optimized geometry; excess energy over the best structure of this formula in the dataset = 31 meV per atom; space-group type = Imm2
1.0
4.9292 0.0100 -0.0260
2.7491 4.0914 0.0260
-3.5668 -2.5606 2.2404
Ir Ta Cr
1 1 1
Cartesian
2.6258 1.4026 0.0000 Ir
5.1108 2.7300 0.0000 Ta
7.6199 4.0702 0.0000 Cr

***

PBE TaCr2Ir, optimized geometry; excess energy over the best structure of this formula in the dataset = 372 meV per atom; space-group type = R-3m
1.0
9.1101 -0.0138 -0.0081
8.7059 2.6834 -0.0081
8.7059 1.3045 2.3450
Ta Ir Cr
1 1 2
Cartesian
6.6305 0.9935 0.5822 Ta
19.8914 2.9806 1.7466 Ir
13.1118 1.9647 1.1513 Cr
0.1492 0.0224 0.0131 Cr

***

PBE TaCr2Ir, optimized geometry; excess energy over the best structure of this formula in the dataset = 36 meV per atom; space-group type = Imm2
1.0
-0.4801 -4.9526 -0.6467
0.0105 -4.4685 2.2825
-3.9319 -1.6757 0.9355
Ta Cr Ir
1 2 1
Cartesian
-1.0689 -2.8438 0.6491 Ta
-3.3665 -8.1750 1.9150 Cr
-3.8671 -1.8235 0.9490 Cr
-2.2315 -5.4788 1.2793 Ir

***

PBE TaCr2Ir, optimized geometry; excess energy over the best structure of this formula in the dataset = 0 meV per atom; space-group type = F-43m
1.0
-2.6263 3.4603 -0.3994
-4.3295 -0.5345 0.0145
-2.3539 1.3572 3.4128
Ta Cr Ir
1 2 1
Cartesian
-6.9823 3.2122 2.2709 Ta
-2.3274 1.0707 0.7570 Cr
0.0000 0.0000 0.0000 Cr
-4.6549 2.1415 1.5139 Ir

***

PBE TaCr2Ir, optimized geometry; excess energy over the best structure of this formula in the dataset = 150 meV per atom; space-group type = C2/m
1.0
-2.8623 1.5234 -3.8591
-2.3609 -1.3308 4.1977
-0.7849 2.4185 0.8973
Cr Ir Ta
2 1 1
Cartesian
-1.8236 1.9710 -1.4809 Cr
0.0000 0.0000 0.0000 Cr
-1.5729 0.5439 2.5475 Ir
-2.6116 0.0963 0.1693 Ta

***

PBE TaCrIr, optimized geometry; excess energy over the best structure of this formula in the dataset = 386 meV per atom; space-group type = F-43m
1.0
4.2838 0.0000 0.0000
2.1419 3.7099 0.0000
2.1419 1.2366 3.4977
Ir Cr Ta
1 1 1
Cartesian
6.4257 3.7099 2.6233 Ir
4.2838 2.4733 1.7489 Cr
0.0000 0.0000 0.0000 Ta

***

| no. | density of states at the Fermi level (states/eV per atom) | energy of formation from the pure elements (eV per atom) |
| --- | --- | --- |
| 1 | 1.12 | 0.263 |
| 2 | 0.65 | 0.336 |
| 3 | 0.81 | 0.350 |
| 4 | 1.17 | -0.125 |
| 5 | 0.73 | -0.120 |
| 6 | 1.14 | 0.020 |
| 7 | 0.74 | 0.343 |
| 8 | 1.16 | 0.030 |
| 9 | 0.94 | -0.083 |
| 10 | 1.42 | -0.025 |
| 11 | 1.16 | 0.562 |
| 12 | 1.03 | -0.124 |
| 13 | 1.73 | 1.991 |
| 14 | 1.57 | 0.019 |
| 15 | 1.30 | -0.040 |
| 16 | 1.20 | -0.156 |
| 17 | 1.23 | 0.159 |
| 18 | 0.97 | 0.063 |
| 19 | 0.65 | 0.404 |
| 20 | 1.07 | -0.104 |
| 21 | 0.84 | -0.161 |
| 22 | 0.67 | -0.078 |
| 23 | 1.09 | 0.079 |
| 24 | 1.34 | -0.125 |
| 25 | 1.11 | 0.246 |
| 26 | 1.10 | -0.091 |
| 27 | 0.88 | -0.126 |
| 28 | 1.22 | 0.024 |
| 29 | 1.61 | 0.229 |